# 1
A plane-wave DFT calculation with PBE-GGA was carried out for an optimized crystal structure of GeTeS. Values from VASP.

```
&SYSTEM
  ibrav = 0, nat = 12, ntyp = 3
/
ATOMIC_SPECIES
S 32.06 S.upf
Ge 72.64 Ge.upf
Te 127.60 Te.upf
ATOMIC_POSITIONS angstrom
S 4.382 8.105 1.380
S 4.357 6.877 4.606
S 1.444 -1.642 5.912
S 1.469 -0.413 2.685
Ge 0.989 7.599 1.332
Ge 4.837 -1.135 5.960
Ge 3.902 0.093 2.733
Ge 1.924 6.371 4.559
Te 2.871 4.350 1.819
Te 2.955 2.114 5.473
Te 0.042 3.122 5.045
Te 5.784 3.342 2.246
CELL_PARAMETERS angstrom
5.826 0.000 0.000
0.000 8.920 0.839
0.000 -2.457 6.453
```

Results
formation energy from raw total energies	-24	kJ/mol of formula units
SG	P2_1/c (14)



# 2
A plane-wave DFT calculation with PBE-GGA was carried out for an optimized crystal structure of Pm2ZnGe3Pt4. Values from VASP.

```
&SYSTEM
  ibrav = 0, nat = 10, ntyp = 4
/
ATOMIC_SPECIES
Pm 145.00 Pm.upf
Zn 65.41 Zn.upf
Ge 72.64 Ge.upf
Pt 195.08 Pt.upf
ATOMIC_POSITIONS angstrom
Pm 2.165 0.000 2.590
Pm 0.000 2.165 7.631
Zn 2.165 2.165 5.111
Ge 0.000 0.000 5.111
Ge 2.165 0.000 8.883
Ge 0.000 2.165 1.338
Pt 2.165 2.165 0.000
Pt 0.000 0.000 0.000
Pt 2.165 0.000 6.450
Pt 0.000 2.165 3.771
CELL_PARAMETERS angstrom
4.330 0.000 0.000
0.000 4.330 0.000
0.000 0.000 10.221
```

Results
SG	P-4m2 (115)
ΔE_f	-914	meV/atom



# 3
A plane-wave DFT calculation with PBE-GGA was carried out for an optimized crystal structure of Pu2Ni3P4Pd. Values from VASP.

```
&SYSTEM
  ibrav = 0, nat = 10, ntyp = 4
/
ATOMIC_SPECIES
Pu 244.00 Pu.upf
Ni 58.69 Ni.upf
P 30.97 P.upf
Pd 106.42 Pd.upf
ATOMIC_POSITIONS angstrom
Pu -0.037 -1.412 2.617
Pu 2.423 1.568 6.714
Ni 0.265 1.149 4.444
Ni 0.309 0.088 8.422
Ni 2.077 0.067 0.909
P 1.857 -2.142 0.443
P 0.000 0.000 0.000
P 0.180 -0.472 6.254
P 2.207 0.628 3.078
Pd 2.122 -0.993 4.887
CELL_PARAMETERS angstrom
-0.324 -3.911 1.030
4.038 -0.373 -0.144
0.529 2.298 8.888
```

Results
SG	P-4m2 (115)
ΔE_f	-828	meV/atom



# 4
A plane-wave DFT calculation with PBE-GGA was carried out for an optimized crystal structure of LaPm2YAs4. Values from VASP.

```
&SYSTEM
  ibrav = 0, nat = 8, ntyp = 4
/
ATOMIC_SPECIES
La 138.91 La.upf
Pm 145.00 Pm.upf
Y 88.91 Y.upf
As 74.92 As.upf
ATOMIC_POSITIONS angstrom
La -1.801 -2.712 2.724
Pm 0.727 2.711 3.187
Pm 2.134 -1.286 3.440
Y 0.000 0.000 0.000
As -0.546 0.032 2.927
As 1.606 -1.319 6.423
As 3.391 1.459 3.645
As 0.877 -4.031 3.234
CELL_PARAMETERS angstrom
-3.209 1.285 2.471
-0.393 -6.709 2.976
4.662 4.138 3.903
```

Results
SG	P2/m (10)
ΔE_f	-1535	meV/atom